# 1
Density functional theory data (PBE-GGA) for a relaxed Ta2CrHg crystal. Values from VASP.

For the formation energy, the calculation gives 1.31 eV per formula unit.

Structure (Quantum ESPRESSO input):
```
&SYSTEM
  ibrav = 0, nat = 4, ntyp = 3
/
ATOMIC_SPECIES
Ta 180.95 Ta.upf
Cr 52.00 Cr.upf
Hg 200.59 Hg.upf
ATOMIC_POSITIONS crystal
Ta 0.0757 0.0000 0.2814
Ta 0.9243 0.0000 0.7186
Cr 0.5000 0.5000 0.5000
Hg 0.5000 0.5000 0.0000
CELL_PARAMETERS angstrom
2.9328 0.0000 0.0000
0.0000 4.0896 0.0000
-0.9696 0.0000 5.7711
```


# 2
Density functional theory data (PBE-GGA) for a relaxed TaCrHg2 crystal. Values from VASP.

For the formation energy, the calculation gives 1.63 eV per formula unit. As for the excess energy over the best structure of this formula in the dataset: 1.2 kJ/mol of atoms.

Structure (Quantum ESPRESSO input):
```
&SYSTEM
  ibrav = 0, nat = 4, ntyp = 3
/
ATOMIC_SPECIES
Ta 180.95 Ta.upf
Cr 52.00 Cr.upf
Hg 200.59 Hg.upf
ATOMIC_POSITIONS crystal
Ta 0.0000 0.0000 0.0000
Cr 0.5000 0.5000 0.1942
Hg 0.0000 0.0000 0.4393
Hg 0.5000 0.5000 0.7305
CELL_PARAMETERS angstrom
1.6587 -2.4567 0.0000
1.6587 2.4567 0.0000
0.0000 0.0000 9.3255
```


# 3
Density functional theory data (PBE-GGA) for a relaxed TaCrHg2 crystal. Values from VASP.

For the formation energy, the calculation gives 2.14 eV per formula unit. As for the excess energy over the best structure of this formula in the dataset: 13.6 kJ/mol of atoms.

Structure (Quantum ESPRESSO input):
```
&SYSTEM
  ibrav = 0, nat = 4, ntyp = 3
/
ATOMIC_SPECIES
Ta 180.95 Ta.upf
Cr 52.00 Cr.upf
Hg 200.59 Hg.upf
ATOMIC_POSITIONS crystal
Ta 0.0000 0.0000 0.0000
Cr 0.5000 0.5000 0.0000
Hg 0.2500 0.7500 0.5000
Hg 0.7500 0.2500 0.5000
CELL_PARAMETERS angstrom
-2.0449 2.0449 4.3723
2.0449 -2.0449 4.3723
2.0449 2.0449 -4.3723
```


# 4
Density functional theory data (PBE-GGA) for a relaxed TaCrHg crystal. Values from VASP.

For the formation energy, the calculation gives 3.70 eV per formula unit. As for the excess energy over the best structure of this formula in the dataset: 82.3 kJ/mol of atoms.

Structure (Quantum ESPRESSO input):
```
&SYSTEM
  ibrav = 0, nat = 3, ntyp = 3
/
ATOMIC_SPECIES
Ta 180.95 Ta.upf
Cr 52.00 Cr.upf
Hg 200.59 Hg.upf
ATOMIC_POSITIONS crystal
Ta 0.0000 0.0000 0.0000
Cr 0.7500 0.7500 0.7500
Hg 0.2500 0.2500 0.2500
CELL_PARAMETERS angstrom
0.0000 3.1870 3.1870
3.1870 0.0000 3.1870
3.1870 3.1870 0.0000
```


# 5
Density functional theory data (PBE-GGA) for a relaxed Ta2CrHg crystal. Values from VASP.

For the formation energy, the calculation gives 1.44 eV per formula unit.

Structure (Quantum ESPRESSO input):
```
&SYSTEM
  ibrav = 0, nat = 4, ntyp = 3
/
ATOMIC_SPECIES
Ta 180.95 Ta.upf
Cr 52.00 Cr.upf
Hg 200.59 Hg.upf
ATOMIC_POSITIONS crystal
Ta 0.0000 0.0000 0.0000
Ta 0.2894 0.5000 0.7421
Cr 0.7142 0.5000 0.1666
Hg 0.6696 0.0000 0.4721
CELL_PARAMETERS angstrom
2.9455 0.0000 0.0000
0.0000 4.4403 0.0000
-1.0675 0.0000 5.4070
```


# 6
Density functional theory data (PBE-GGA) for a relaxed Ta2CrHg crystal. Values from VASP.

For the formation energy, the calculation gives 1.77 eV per formula unit.

Structure (Quantum ESPRESSO input):
```
&SYSTEM
  ibrav = 0, nat = 4, ntyp = 3
/
ATOMIC_SPECIES
Ta 180.95 Ta.upf
Cr 52.00 Cr.upf
Hg 200.59 Hg.upf
ATOMIC_POSITIONS crystal
Ta 0.0000 0.0000 0.0000
Ta 0.7500 0.2500 0.5000
Cr 0.2500 0.7500 0.5000
Hg 0.5000 0.5000 0.0000
CELL_PARAMETERS angstrom
-2.0302 2.0302 4.2387
2.0302 -2.0302 4.2387
2.0302 2.0302 -4.2387
```


no.,DOS at the Fermi energy (states/eV/atom)
1,0.886
2,0.779
3,0.681
4,1.737
5,0.857
6,0.941